No. 1
Entry from the Alexandria database: a relaxed CrFeRh2 crystal (PBE).

abc: 8.6795 8.6795 8.6795
angles: 17.67 17.67 17.67
Closest atoms and distances in Å follow each position.
Fractional positions:
Fe  0.7516  0.7516  0.7516  3 Rh 2.58, 3 Cr 2.60, 6 Fe 2.67
Rh  0.2444  0.2444  0.2444  3 Cr 2.52, 6 Rh 2.67
Cr  0.4999  0.4999  0.4999  3 Rh 2.52, 3 Fe 2.60, 6 Cr 2.67
Rh  0.0040  0.0040  0.0040  3 Fe 2.58, 9 Rh 2.67-2.83

Summary:
Formation enthalpy at 0 K in eV per atom: 0.08
Calculated volume in Å³ per cell: 52.6
DOS at the Fermi energy in states/eV/f.u.: 6.24
Crystal system: trigonal

No. 2
Entry from the Alexandria database: a relaxed Ba2CaTaRe crystal (PBE).

abc: 6.4070 4.7890 6.4070
angles: 90.00 90.00 90.00
Closest atoms and distances in Å follow each position.
Fractional positions:
Ca  0.5000  0.5000  0.5000  8 Ba 4.00
Ba  0.5000  0.0000  0.0000  2 Ta 3.20
Ta  0.0000  0.0000  0.0000  2 Re 2.39
Ba  0.0000  0.0000  0.5000  2 Ta 3.20
Re  0.0000  0.5000  0.0000  2 Ta 2.39

Summary:
Formation enthalpy at 0 K in eV per atom: 1.11
Calculated volume in Å³ per cell: 196.6
DOS at the Fermi energy in states/eV/f.u.: 6.88
Crystal system: tetragonal

No. 3
Entry from the Alexandria database: a relaxed BaTa2As crystal (PBE).

abc: 9.4308 9.4308 9.4308
angles: 21.18 21.18 21.18
Closest atoms and distances in Å follow each position.
Fractional positions:
Ta  0.9753  0.9753  0.9753  3 As 2.58
Ba  0.7500  0.7500  0.7500  6 Ba 3.47, 6 Ta 3.60
As  0.2500  0.2500  0.2500  6 Ta 2.58
Ta  0.5247  0.5247  0.5247  3 As 2.58

Summary:
Formation enthalpy at 0 K in eV per atom: 0.60
Calculated volume in Å³ per cell: 95.9
DOS at the Fermi energy in states/eV/f.u.: 2.89
Crystal system: trigonal

No. 4
Entry from the Alexandria database: a relaxed FeBPbAu2 crystal (PBE).

abc: 4.5007 4.5007 4.2596
angles: 90.00 90.00 90.00
Closest atoms and distances in Å follow each position.
Fractional positions:
Au  0.5000  0.0000  0.0000  2 B 2.25
Pb  0.5000  0.5000  0.5000  8 Au 3.10, 4 Fe 3.18
Fe  0.0000  0.0000  0.5000  2 B 2.13
B  0.0000  0.0000  0.0000  2 Fe 2.13, 4 Au 2.25
Au  0.0000  0.5000  0.0000  2 B 2.25

Summary:
Formation enthalpy at 0 K in eV per atom: 0.30
Calculated volume in Å³ per cell: 86.3
DOS at the Fermi energy in states/eV/f.u.: 2.71
Crystal system: tetragonal